# 1
The following is a PBE calculation of a relaxed K2SrCd crystal, from Alexandria via LeMat-Bulk.

```
4
Lattice="-3.228 3.228 4.462 3.228 -3.228 4.462 3.228 3.228 -4.462" Properties=species:S:1:pos:R:3 pbc="T T T"
K 0.000 0.000 0.000
K 0.000 3.228 2.231
Sr 0.000 0.000 4.462
Cd 3.228 0.000 2.231
```

Values from the calculation:
ρ in g/cm³: 2.5
E_tot in eV/cell: -4.5

***

# 2
The following is a PBE calculation of a relaxed KSrCd2 crystal, from Alexandria via LeMat-Bulk.

```
4
Lattice="2.238 1.292 9.546 -2.238 1.292 9.546 0.000 -2.584 9.546" Properties=species:S:1:pos:R:3 pbc="T T T"
K 0.000 0.000 0.000
Sr 0.000 0.000 14.319
Cd 0.000 0.000 7.013
Cd 0.000 0.000 21.626
```

Values from the calculation:
Distance to the lowest polymorph of the same formula in eV per atom: 0.131
ρ in g/cm³: 3.5
E_tot in eV/cell: -4.7

***

# 3
The following is a PBE calculation of a relaxed K2SrCd2 crystal, from Alexandria via LeMat-Bulk.

```
10
Lattice="8.735 0.000 0.000 0.000 8.735 0.000 0.000 0.000 5.719" Properties=species:S:1:pos:R:3 pbc="T T T"
K 1.486 2.881 0.000
K 2.881 7.248 0.000
K 5.854 1.486 0.000
K 7.248 5.854 0.000
Sr 0.000 0.000 2.860
Sr 4.367 4.367 2.860
Cd 1.052 5.419 2.860
Cd 3.315 1.052 2.860
Cd 5.419 7.683 2.860
Cd 7.683 3.315 2.860
```

Values from the calculation:
Distance to the lowest polymorph of the same formula in eV per atom: 0.000
ρ in g/cm³: 3.0
E_tot in eV/cell: -11.9

***

- Which of these has the lowest E_tot?
  K2SrCd2

***

What did the second record say?
The following is a PBE calculation of a relaxed KSrCd2 crystal, from Alexandria via LeMat-Bulk.

```
4
Lattice="2.238 1.292 9.546 -2.238 1.292 9.546 0.000 -2.584 9.546" Properties=species:S:1:pos:R:3 pbc="T T T"
K 0.000 0.000 0.000
Sr 0.000 0.000 14.319
Cd 0.000 0.000 7.013
Cd 0.000 0.000 21.626
```

Values from the calculation:
Distance to the lowest polymorph of the same formula in eV per atom: 0.131
ρ in g/cm³: 3.5
E_tot in eV/cell: -4.7

***

- E_tot of number 2 (KSrCd2)?
  -4.7 eV/cell

***

- Which formula does entry 1 have?
  K2SrCd